Entry 1:
# YEr7 PBE relaxed
# Fermi-level density of states	13.6	states/eV/cell
# energy of formation from the pure elements	21	kJ/mol of formula units
# magnetic moment	0.0	μB per formula unit
data_YEr7
_chemical_formula_sum 'Y1 Er7'
_cell_length_a 7.028
_cell_length_b 7.028
_cell_length_c 7.028
_cell_angle_alpha 60.00
_cell_angle_beta 60.00
_cell_angle_gamma 60.00
_symmetry_space_group_name_H-M 'P 1'
_symmetry_Int_Tables_number 1
_symmetry_space_group_name_Hall 'P 1'
loop_
_atom_site_label
_atom_site_type_symbol
_atom_site_fract_x
_atom_site_fract_y
_atom_site_fract_z
Er1 Er 0.000 0.500 0.500
Er2 Er 0.500 0.000 0.500
Er3 Er 0.000 0.000 0.500
Er4 Er 0.500 0.500 0.500
Er5 Er 0.500 0.500 0.000
Er6 Er 0.500 0.000 0.000
Er7 Er 0.000 0.500 0.000
Y1 Y 0.000 0.000 0.000


Entry 2:
# Y13Er3 PBE relaxed
# Fermi-level density of states	21.3	states/eV/cell
# energy of formation from the pure elements	36	kJ/mol of formula units
# magnetic moment	0.0	μB per formula unit
# offset from the most stable computed form	23	meV/atom
data_Y13Er3
_chemical_formula_sum 'Y13 Er3'
_cell_length_a 7.122
_cell_length_b 7.122
_cell_length_c 10.040
_cell_angle_alpha 90.00
_cell_angle_beta 90.00
_cell_angle_gamma 90.00
_symmetry_space_group_name_H-M 'P 1'
_symmetry_Int_Tables_number 1
_symmetry_space_group_name_Hall 'P 1'
loop_
_atom_site_label
_atom_site_type_symbol
_atom_site_fract_x
_atom_site_fract_y
_atom_site_fract_z
Y1 Y 0.000 0.500 0.249
Y2 Y 0.751 0.751 0.500
Y3 Y 0.751 0.249 0.500
Y4 Y 0.249 0.751 0.500
Y5 Y 0.500 0.500 0.249
Y6 Y 0.000 0.500 0.751
Y7 Y 0.249 0.751 0.000
Y8 Y 0.751 0.751 0.000
Y9 Y 0.249 0.249 0.500
Y10 Y 0.500 0.500 0.751
Y11 Y 0.500 0.000 0.249
Y12 Y 0.249 0.249 0.000
Y13 Y 0.500 0.000 0.751
Er1 Er 0.751 0.249 0.000
Er2 Er 0.000 0.000 0.249
Er3 Er 0.000 0.000 0.751


Entry 3:
# YEr4 PBE relaxed
# Fermi-level density of states	7.3	states/eV/cell
# energy of formation from the pure elements	375	kJ/mol of formula units
# magnetic moment	0.2	μB per formula unit
# offset from the most stable computed form	750	meV/atom
data_YEr4
_chemical_formula_sum 'Y1 Er4'
_cell_length_a 5.578
_cell_length_b 5.578
_cell_length_c 5.578
_cell_angle_alpha 90.00
_cell_angle_beta 90.00
_cell_angle_gamma 90.00
_symmetry_space_group_name_H-M 'P 1'
_symmetry_Int_Tables_number 1
_symmetry_space_group_name_Hall 'P 1'
loop_
_atom_site_label
_atom_site_type_symbol
_atom_site_fract_x
_atom_site_fract_y
_atom_site_fract_z
Er1 Er 0.500 0.000 0.500
Er2 Er 0.500 0.500 0.000
Er3 Er 0.000 0.500 0.500
Er4 Er 0.000 0.000 0.000
Y1 Y 0.500 0.500 0.500


Entry 4:
# Y2Er17 PBE relaxed
# Fermi-level density of states	34.0	states/eV/cell
# energy of formation from the pure elements	513	kJ/mol of formula units
# magnetic moment	0.0	μB per formula unit
data_Y2Er17
_chemical_formula_sum 'Y2 Er17'
_cell_length_a 8.641
_cell_length_b 8.641
_cell_length_c 8.641
_cell_angle_alpha 79.65
_cell_angle_beta 79.65
_cell_angle_gamma 79.65
_symmetry_space_group_name_H-M 'P 1'
_symmetry_Int_Tables_number 1
_symmetry_space_group_name_Hall 'P 1'
loop_
_atom_site_label
_atom_site_type_symbol
_atom_site_fract_x
_atom_site_fract_y
_atom_site_fract_z
Er1 Er 0.368 0.853 0.368
Er2 Er 0.632 0.147 0.632
Er3 Er 0.368 0.368 0.853
Er4 Er 0.000 0.300 0.700
Er5 Er 0.000 0.700 0.300
Er6 Er 0.700 0.000 0.300
Er7 Er 0.097 0.097 0.097
Er8 Er 0.147 0.632 0.632
Er9 Er 0.632 0.632 0.147
Er10 Er 0.500 0.000 0.000
Er11 Er 0.853 0.368 0.368
Er12 Er 0.000 0.500 0.000
Er13 Er 0.300 0.000 0.700
Er14 Er 0.903 0.903 0.903
Er15 Er 0.300 0.700 0.000
Er16 Er 0.700 0.300 0.000
Er17 Er 0.000 0.000 0.500
Y1 Y 0.677 0.677 0.677
Y2 Y 0.323 0.323 0.323


Entry 5:
# Y5Er PBE relaxed
# Fermi-level density of states	12.2	states/eV/cell
# energy of formation from the pure elements	63	kJ/mol of formula units
# magnetic moment	0.0	μB per formula unit
# offset from the most stable computed form	84	meV/atom
data_Y5Er
_chemical_formula_sum 'Y5 Er1'
_cell_length_a 3.763
_cell_length_b 5.774
_cell_length_c 9.394
_cell_angle_alpha 107.90
_cell_angle_beta 90.00
_cell_angle_gamma 90.00
_symmetry_space_group_name_H-M 'P 1'
_symmetry_Int_Tables_number 1
_symmetry_space_group_name_Hall 'P 1'
loop_
_atom_site_label
_atom_site_type_symbol
_atom_site_fract_x
_atom_site_fract_y
_atom_site_fract_z
Y1 Y 0.500 0.000 0.000
Y2 Y 0.500 0.348 0.696
Y3 Y 0.000 0.180 0.360
Y4 Y 0.000 0.820 0.640
Y5 Y 0.500 0.652 0.304
Er1 Er 0.000 0.500 0.000


Entry 6:
# Y3Er7 PBE relaxed
# Fermi-level density of states	36.8	states/eV/cell
# energy of formation from the pure elements	200	kJ/mol of formula units
# magnetic moment	1.4	μB per formula unit
# offset from the most stable computed form	184	meV/atom
data_Y3Er7
_chemical_formula_sum 'Y6 Er14'
_cell_length_a 6.287
_cell_length_b 10.805
_cell_length_c 10.805
_cell_angle_alpha 120.00
_cell_angle_beta 90.00
_cell_angle_gamma 90.00
_symmetry_space_group_name_H-M 'P 1'
_symmetry_Int_Tables_number 1
_symmetry_space_group_name_Hall 'P 1'
loop_
_atom_site_label
_atom_site_type_symbol
_atom_site_fract_x
_atom_site_fract_y
_atom_site_fract_z
Er1 Er 0.877 0.881 0.119
Er2 Er 0.877 0.881 0.762
Er3 Er 0.226 0.471 0.942
Er4 Er 0.377 0.119 0.238
Er5 Er 0.377 0.119 0.881
Er6 Er 0.002 0.667 0.333
Er7 Er 0.726 0.942 0.471
Er8 Er 0.502 0.333 0.667
Er9 Er 0.226 0.471 0.529
Er10 Er 0.377 0.762 0.881
Er11 Er 0.226 0.058 0.529
Er12 Er 0.877 0.238 0.119
Er13 Er 0.726 0.529 0.471
Er14 Er 0.726 0.529 0.058
Y1 Y 0.365 0.421 0.210
Y2 Y 0.365 0.790 0.579
Y3 Y 0.865 0.579 0.790
Y4 Y 0.865 0.210 0.421
Y5 Y 0.365 0.790 0.210
Y6 Y 0.865 0.210 0.790


Entry 7:
# Y5Er4 PBE relaxed
# Fermi-level density of states	13.1	states/eV/cell
# energy of formation from the pure elements	23	kJ/mol of formula units
# magnetic moment	0.0	μB per formula unit
data_Y5Er4
_chemical_formula_sum 'Y5 Er4'
_cell_length_a 5.001
_cell_length_b 7.930
_cell_length_c 7.930
_cell_angle_alpha 84.25
_cell_angle_beta 71.57
_cell_angle_gamma 71.57
_symmetry_space_group_name_H-M 'P 1'
_symmetry_Int_Tables_number 1
_symmetry_space_group_name_Hall 'P 1'
loop_
_atom_site_label
_atom_site_type_symbol
_atom_site_fract_x
_atom_site_fract_y
_atom_site_fract_z
Y1 Y 0.333 0.334 0.000
Y2 Y 0.667 0.666 0.000
Y3 Y 0.333 0.000 0.334
Y4 Y 0.000 0.000 0.000
Y5 Y 0.667 0.000 0.666
Er1 Er 0.000 0.665 0.335
Er2 Er 0.665 0.335 0.335
Er3 Er 0.335 0.665 0.665
Er4 Er 0.000 0.335 0.665


Entry 8:
# Y4Er PBE relaxed
# Fermi-level density of states	6.8	states/eV/cell
# energy of formation from the pure elements	333	kJ/mol of formula units
# magnetic moment	0.4	μB per formula unit
# offset from the most stable computed form	663	meV/atom
data_Y4Er
_chemical_formula_sum 'Y4 Er1'
_cell_length_a 5.662
_cell_length_b 5.662
_cell_length_c 5.662
_cell_angle_alpha 90.00
_cell_angle_beta 90.00
_cell_angle_gamma 90.00
_symmetry_space_group_name_H-M 'P 1'
_symmetry_Int_Tables_number 1
_symmetry_space_group_name_Hall 'P 1'
loop_
_atom_site_label
_atom_site_type_symbol
_atom_site_fract_x
_atom_site_fract_y
_atom_site_fract_z
Y1 Y 0.500 0.500 0.000
Y2 Y 0.500 0.000 0.500
Y3 Y 0.000 0.000 0.000
Y4 Y 0.000 0.500 0.500
Er1 Er 0.500 0.500 0.500